# Dy8Pd2Rh

A geometry-optimized Dy8Pd2Rh structure (PBE-GGA, the Alexandria database).

It has space group C2/m (No. 12), with a = 17.290 Å, b = 5.080 Å, c = 6.719 Å, α = 90.00°, β = 104.91° and γ = 90.00°. Symmetry generates all atoms from Dy at (0.032, 0.000, 0.287), Dy at (0.089, 0.500, 0.943), Dy at (0.164, 0.500, 0.475), Dy at (0.203, 0.000, 0.822), Pd at (0.189, 0.000, 0.227) and Rh at (0.000, 0.500, 0.500).

As for the total magnetization: 0.00 μB/cell. The electronic total energy comes out at -5.44 eV/atom. As for the energy relative to the elements: -484 meV per atom. The value obtained for the relative energy among the computed polymorphs is 0 meV/atom. The value obtained for the theoretical density is 9.41 Mg/m³.

# DyPd2Rh

A geometry-optimized DyPd2Rh structure (PBE-GGA, the Alexandria database).

It has space group Fm-3m (No. 225), with a = 6.558 Å, b = 6.558 Å, c = 6.558 Å, α = 90.00°, β = 90.00° and γ = 90.00°. Symmetry generates all atoms from Dy at (0.000, 0.000, 0.000), Pd at (0.250, 0.250, 0.250) and Rh at (0.000, 0.000, 0.500).

As for the total magnetization: 0.00 μB/cell. The electronic total energy comes out at -6.13 eV/atom. As for the energy relative to the elements: -542 meV per atom. The value obtained for the theoretical density is 11.26 Mg/m³.

# Dy8Pd2Rh

A geometry-optimized Dy8Pd2Rh structure (PBE-GGA, the Alexandria database).

It has space group Cm (No. 8), with a = 8.210 Å, b = 13.136 Å, c = 5.924 Å, α = 90.00°, β = 110.82° and γ = 90.00°. Symmetry generates all atoms from Dy at (0.000, 0.000, 0.000), Dy at (0.073, 0.376, 0.769), Dy at (0.144, 0.125, 0.562), Dy at (0.220, 0.500, 0.354), Dy at (0.359, 0.207, 0.174), Pd at (0.362, 0.302, 0.678) and Rh at (0.363, 0.000, 0.313).

As for the total magnetization: 0.00 μB/cell. The electronic total energy comes out at -5.35 eV/atom. As for the energy relative to the elements: -390 meV per atom. The value obtained for the relative energy among the computed polymorphs is 93 meV/atom. The value obtained for the theoretical density is 8.99 Mg/m³.

# Dy4Pd3Rh

A geometry-optimized Dy4Pd3Rh structure (PBE-GGA, the Alexandria database).

It has space group Pmm2 (No. 25), with a = 3.726 Å, b = 4.498 Å, c = 10.531 Å, α = 90.00°, β = 90.00° and γ = 90.00°. Symmetry generates all atoms from Dy at (0.000, 0.000, 0.000), Dy at (0.000, 0.500, 0.269), Dy at (0.500, 0.000, 0.487), Dy at (0.500, 0.500, 0.769), Pd at (0.000, 0.000, 0.718), Pd at (0.000, 0.500, 0.547), Pd at (0.500, 0.500, 0.044) and Rh at (0.500, 0.000, 0.222).

As for the total magnetization: 0.00 μB/cell. The electronic total energy comes out at -6.07 eV/atom. As for the energy relative to the elements: -902 meV per atom. The value obtained for the theoretical density is 10.09 Mg/m³.

# Dy3Si6Pd2Rh

A geometry-optimized Dy3Si6Pd2Rh structure (PBE-GGA, the Alexandria database).

It has space group P-3m1 (No. 164), with a = 5.6499 Å, b = 5.6499 Å, c = 7.9413 Å, α = 90.00°, β = 90.00° and γ = 120.00°. Symmetry generates all atoms from Dy at (0.0000, 0.0000, 0.0000), Dy at (0.3333, 0.6667, 0.6110), Si at (0.1882, 0.3764, 0.2868), Pd at (0.3333, 0.6667, 0.0276) and Rh at (0.0000, 0.0000, 0.5000).

As for the total magnetization: 0.00 μB/cell. The electronic total energy comes out at -5.89 eV/atom. The energy relative to the elements, uncorrected comes out at -0.545 eV/atom. The value obtained for the theoretical density is 7.35 Mg/m³.

# Dy2Si2PdRh5

A geometry-optimized Dy2Si2PdRh5 structure (PBE-GGA, the Alexandria database).

It has space group P4/mbm (No. 127), with a = 9.701 Å, b = 9.701 Å, c = 3.497 Å, α = 90.00°, β = 90.00° and γ = 90.00°. Symmetry generates all atoms from Dy at (0.175, 0.325, 0.000), Si at (0.125, 0.625, 0.000), Pd at (0.000, 0.000, 0.000), Rh at (0.000, 0.500, 0.500) and Rh at (0.069, 0.785, 0.500).

As for the total magnetization: 0.00 μB/cell. The electronic total energy comes out at -7.04 eV/atom. The energy relative to the elements, uncorrected comes out at -0.838 eV/atom. The value obtained for the theoretical density is 10.11 Mg/m³.

# SmDyPdRh

A geometry-optimized SmDyPdRh structure (PBE-GGA, the Alexandria database).

It has space group F-43m (No. 216), with a = 7.007 Å, b = 7.007 Å, c = 7.007 Å, α = 90.00°, β = 90.00° and γ = 90.00°. Symmetry generates all atoms from Sm at (0.000, 0.000, 0.000), Dy at (0.000, 0.000, 0.500), Pd at (0.250, 0.250, 0.250) and Rh at (0.250, 0.250, 0.750).

As for the total magnetization: 0.00 μB/cell. The electronic total energy comes out at -6.28 eV/atom. As for the energy relative to the elements: -817 meV per atom. The value obtained for the relative energy among the computed polymorphs is 20 meV/atom. The value obtained for the theoretical density is 10.08 Mg/m³.

# SmDyPdRh

A geometry-optimized SmDyPdRh structure (PBE-GGA, the Alexandria database).

It has space group Amm2 (No. 38), with a = 4.483 Å, b = 3.749 Å, c = 10.635 Å, α = 90.00°, β = 90.00° and γ = 90.00°. Symmetry generates all atoms from Sm at (0.000, 0.000, 0.000), Dy at (0.500, 0.000, 0.278), Pd at (0.500, 0.000, 0.558) and Rh at (0.000, 0.000, 0.732).

As for the total magnetization: 0.00 μB/cell. The electronic total energy comes out at -6.30 eV/atom. As for the energy relative to the elements: -837 meV per atom. The value obtained for the relative energy among the computed polymorphs is 0 meV/atom. The value obtained for the theoretical density is 9.70 Mg/m³.

# TbDyPdRh

A geometry-optimized TbDyPdRh structure (PBE-GGA, the Alexandria database).

It has space group Amm2 (No. 38), with a = 4.450 Å, b = 3.713 Å, c = 10.570 Å, α = 90.00°, β = 90.00° and γ = 90.00°. Symmetry generates all atoms from Tb at (0.000, 0.000, 0.000), Dy at (0.500, 0.000, 0.723), Pd at (0.500, 0.000, 0.445) and Rh at (0.000, 0.000, 0.269).

As for the total magnetization: 0.00 μB/cell. The electronic total energy comes out at -6.32 eV/atom. As for the energy relative to the elements: -875 meV per atom. The value obtained for the relative energy among the computed polymorphs is 0 meV/atom. The value obtained for the theoretical density is 10.09 Mg/m³.

# TbDyPdRh

A geometry-optimized TbDyPdRh structure (PBE-GGA, the Alexandria database).

It has space group F-43m (No. 216), with a = 6.948 Å, b = 6.948 Å, c = 6.948 Å, α = 90.00°, β = 90.00° and γ = 90.00°. Symmetry generates all atoms from Tb at (0.000, 0.000, 0.000), Dy at (0.000, 0.000, 0.500), Pd at (0.250, 0.250, 0.250) and Rh at (0.250, 0.250, 0.750).

As for the total magnetization: 0.00 μB/cell. The electronic total energy comes out at -6.32 eV/atom. As for the energy relative to the elements: -871 meV per atom. The value obtained for the relative energy among the computed polymorphs is 3 meV/atom. The value obtained for the theoretical density is 10.51 Mg/m³.

# DyTh2PdRh5

A geometry-optimized DyTh2PdRh5 structure (PBE-GGA, the Alexandria database).

It has space group I4/mcm (No. 140), with a = 8.373 Å, b = 8.373 Å, c = 10.758 Å, α = 90.00°, β = 90.00° and γ = 90.00°. Symmetry generates all atoms from Dy at (0.000, 0.000, 0.250), Th at (0.139, 0.361, 0.000), Pd at (0.000, 0.500, 0.250), Rh at (0.000, 0.000, 0.000) and Rh at (0.190, 0.310, 0.364).

As for the total magnetization: 0.00 μB/cell. The electronic total energy comes out at -7.21 eV/atom. As for the energy relative to the elements: -389 meV per atom. The value obtained for the theoretical density is 10.99 Mg/m³.

# DyThPdRh

A geometry-optimized DyThPdRh structure (PBE-GGA, the Alexandria database).

It has space group F-43m (No. 216), with a = 7.093 Å, b = 7.093 Å, c = 7.093 Å, α = 90.00°, β = 90.00° and γ = 90.00°. Symmetry generates all atoms from Dy at (0.000, 0.000, 0.000), Th at (0.000, 0.000, 0.500), Pd at (0.250, 0.250, 0.750) and Rh at (0.250, 0.250, 0.250).

As for the total magnetization: 0.00 μB/cell. The electronic total energy comes out at -6.91 eV/atom. As for the energy relative to the elements: -771 meV per atom. The value obtained for the relative energy among the computed polymorphs is 147 meV/atom. The value obtained for the theoretical density is 11.24 Mg/m³.